Compound: Pm3TlAu3
Source: Alexandria via LeMat-Bulk
Functional: PBE-GGA
Structure: optimized geometry

Computed properties:
**Calculated formation energy**: -509 meV/atom
**Density of states at the Fermi level**: 5.4 states/eV/f.u.
**Total DFT energy (no corrections)**: -0.158 hartree per atom

Unit cell a=5.016 b=9.181 c=9.181 alpha=120.00 beta=90.00 gamma=90.00
Sites, in units of the cell vectors:
Pm: 0.250 0.332 0.421
Pm: 0.250 0.089 0.668
Pm: 0.250 0.579 0.911
Pm: 0.750 0.668 0.579
Pm: 0.750 0.421 0.089
Pm: 0.750 0.911 0.332
Au: 0.250 0.966 0.178
Au: 0.250 0.822 0.787
Au: 0.750 0.787 0.966
Au: 0.750 0.034 0.822
Au: 0.750 0.178 0.213
Au: 0.250 0.213 0.034
Tl: 0.750 0.333 0.667
Tl: 0.250 0.667 0.333